1.
Material: RbSn2Ru2
Method: DFT, PBE
State: optimized geometry

```
data_RbSn2Ru2
_chemical_formula_sum 'Rb2 Sn4 Ru4'
_cell_length_a 4.7947
_cell_length_b 4.7947
_cell_length_c 10.2778
_cell_angle_alpha 90.00
_cell_angle_beta 90.00
_cell_angle_gamma 90.00
_symmetry_space_group_name_H-M 'I 4/m m m'
_symmetry_Int_Tables_number 139
_symmetry_space_group_name_Hall '-I 4 2'
loop_
_atom_site_label
_atom_site_type_symbol
_atom_site_fract_x
_atom_site_fract_y
_atom_site_fract_z
Rb1 Rb 0.0000 0.0000 0.0000
Sn1 Sn 0.0000 0.5000 0.2500
Ru1 Ru 0.0000 0.0000 0.3845
```

2.
# Bi3ClO4, optimized geometry, DFT PBE
data_Bi3ClO4
_chemical_formula_sum 'Bi12 Cl4 O16'
_cell_length_a 19.6101
_cell_length_b 5.7947
_cell_length_c 5.7974
_cell_angle_alpha 90.00
_cell_angle_beta 106.75
_cell_angle_gamma 90.00
_symmetry_space_group_name_H-M 'C 1 2/c 1'
_symmetry_Int_Tables_number 15
loop_
_symmetry_equiv_pos_as_xyz
'x,y,z'
'-x,-y,-z'
'-x,y,-z+1/2'
'x,-y,z+1/2'
'x+1/2,y+1/2,z'
'-x+1/2,-y+1/2,-z'
'-x+1/2,y+1/2,-z+1/2'
'x+1/2,-y+1/2,z+1/2'
loop_
_atom_site_label
_atom_site_type_symbol
_atom_site_fract_x
_atom_site_fract_y
_atom_site_fract_z
Bi1 Bi 0.0000 0.2051 0.2500
Bi2 Bi 0.1445 0.2963 0.8436
Cl1 Cl 0.2500 0.2500 0.5000
O1 O 0.0663 0.0659 0.6351
O2 O 0.0899 0.4577 0.0746
# Raw formation energy, eV/atom: -1.2401

3.
# Hf6Sb2Se, optimized geometry, DFT PBE
data_Hf6Sb2Se
_chemical_formula_sum 'Hf12 Sb4 Se2'
_cell_length_a 5.8737
_cell_length_b 7.4664
_cell_length_c 10.6353
_cell_angle_alpha 90.00
_cell_angle_beta 121.79
_cell_angle_gamma 90.00
_symmetry_space_group_name_H-M 'P 1 21/c 1'
_symmetry_Int_Tables_number 14
loop_
_symmetry_equiv_pos_as_xyz
'x,y,z'
'-x,-y,-z'
'-x,y+1/2,-z+1/2'
'x,-y+1/2,z+1/2'
loop_
_atom_site_label
_atom_site_type_symbol
_atom_site_fract_x
_atom_site_fract_y
_atom_site_fract_z
Hf1 Hf 0.0737 0.1918 0.4464
Hf2 Hf 0.3071 0.6700 0.4489
Hf3 Hf 0.3108 0.0113 0.2086
Sb1 Sb 0.1769 0.1177 0.7433
Se1 Se 0.5000 0.0000 0.5000
# Raw formation energy, eV/atom: -0.4420

4.
Material: Ba5Hg2H
Method: DFT, PBE
State: optimized geometry

```
data_Ba5Hg2H
_chemical_formula_sum 'Ba20 Hg8 H4'
_cell_length_a 15.3598
_cell_length_b 4.5568
_cell_length_c 20.8055
_cell_angle_alpha 90.00
_cell_angle_beta 90.00
_cell_angle_gamma 90.00
_symmetry_space_group_name_H-M 'P n m a'
_symmetry_Int_Tables_number 62
loop_
_symmetry_equiv_pos_as_xyz
'x,y,z'
'-x,-y,-z'
'-x+1/2,-y,z+1/2'
'x+1/2,y,-z+1/2'
'x+1/2,-y+1/2,-z+1/2'
'-x+1/2,y+1/2,z+1/2'
'-x,y+1/2,-z'
'x,-y+1/2,z'
loop_
_atom_site_label
_atom_site_type_symbol
_atom_site_fract_x
_atom_site_fract_y
_atom_site_fract_z
Ba1 Ba 0.0284 0.2500 0.0939
Ba2 Ba 0.0319 0.7500 0.3201
Ba3 Ba 0.1351 0.7500 0.5376
Ba4 Ba 0.2459 0.7500 0.8750
Ba5 Ba 0.2487 0.2500 0.7018
Hg1 Hg 0.0912 0.7500 0.7590
Hg2 Hg 0.1803 0.7500 0.0331
H1 H 0.2022 0.7500 0.3257
```

5.
Material: Bi2AsP
Method: DFT, PBE
State: optimized geometry

```
data_Bi2AsP
_chemical_formula_sum 'Bi8 As4 P4'
_cell_length_a 7.2794
_cell_length_b 7.2794
_cell_length_c 7.2794
_cell_angle_alpha 90.00
_cell_angle_beta 90.00
_cell_angle_gamma 90.00
_symmetry_space_group_name_H-M 'F m -3 m'
_symmetry_Int_Tables_number 225
_symmetry_space_group_name_Hall '-F 4 2 3'
loop_
_atom_site_label
_atom_site_type_symbol
_atom_site_fract_x
_atom_site_fract_y
_atom_site_fract_z
Bi1 Bi 0.2500 0.2500 0.2500
As1 As 0.0000 0.0000 0.0000
P1 P 0.0000 0.0000 0.5000
```

6.
Material: K2TaAs
Method: DFT, PBE
State: optimized geometry

```
data_K2TaAs
_chemical_formula_sum 'K2 Ta1 As1'
_cell_length_a 4.0528
_cell_length_b 4.0528
_cell_length_c 5.8772
_cell_angle_alpha 90.00
_cell_angle_beta 90.00
_cell_angle_gamma 90.00
_symmetry_space_group_name_H-M 'P 4/m m m'
_symmetry_Int_Tables_number 123
_symmetry_space_group_name_Hall '-P 4 2'
loop_
_atom_site_label
_atom_site_type_symbol
_atom_site_fract_x
_atom_site_fract_y
_atom_site_fract_z
K1 K 0.0000 0.5000 0.0000
Ta1 Ta 0.0000 0.0000 0.5000
As1 As 0.5000 0.5000 0.5000
```

7.
Material: Pr7Er3
Method: DFT, PBE
State: optimized geometry

```
data_Pr7Er3
_chemical_formula_sum 'Pr14 Er6'
_cell_length_a 11.8143
_cell_length_b 11.8143
_cell_length_c 5.8167
_cell_angle_alpha 90.00
_cell_angle_beta 90.00
_cell_angle_gamma 120.00
_symmetry_space_group_name_H-M 'P 63 m c'
_symmetry_Int_Tables_number 186
_symmetry_space_group_name_Hall 'P 6c -2c'
loop_
_atom_site_label
_atom_site_type_symbol
_atom_site_fract_x
_atom_site_fract_y
_atom_site_fract_z
Pr1 Pr 0.0484 0.5242 0.0000
Pr2 Pr 0.1159 0.2318 0.0092
Pr3 Pr 0.3333 0.6667 0.0167
Er1 Er 0.2239 0.4477 0.5092
```

8.
Material: NdHo3
Method: DFT, PBE
State: optimized geometry

```
data_NdHo3
_chemical_formula_sum 'Nd2 Ho6'
_cell_length_a 3.6419
_cell_length_b 11.3752
_cell_length_c 6.2635
_cell_angle_alpha 90.00
_cell_angle_beta 90.00
_cell_angle_gamma 90.00
_symmetry_space_group_name_H-M 'I m m 2'
_symmetry_Int_Tables_number 44
loop_
_symmetry_equiv_pos_as_xyz
'x,y,z'
'-x,-y,z'
'-x,y,z'
'x,-y,z'
'x+1/2,y+1/2,z+1/2'
'-x+1/2,-y+1/2,z+1/2'
'-x+1/2,y+1/2,z+1/2'
'x+1/2,-y+1/2,z+1/2'
loop_
_atom_site_label
_atom_site_type_symbol
_atom_site_fract_x
_atom_site_fract_y
_atom_site_fract_z
Nd1 Nd 0.0000 0.0000 0.0000
Ho1 Ho 0.0000 0.2480 0.6635
Ho2 Ho 0.0000 0.5000 0.9968
```

9.
Material: Hf4AlNi15
Method: DFT, PBE
State: optimized geometry

```
data_Hf4AlNi15
_chemical_formula_sum 'Hf4 Al1 Ni15'
_cell_length_a 3.7095
_cell_length_b 3.7095
_cell_length_c 18.3289
_cell_angle_alpha 90.00
_cell_angle_beta 90.00
_cell_angle_gamma 90.00
_symmetry_space_group_name_H-M 'P 4/m m m'
_symmetry_Int_Tables_number 123
_symmetry_space_group_name_Hall '-P 4 2'
loop_
_atom_site_label
_atom_site_type_symbol
_atom_site_fract_x
_atom_site_fract_y
_atom_site_fract_z
Hf1 Hf 0.0000 0.0000 0.1028
Hf2 Hf 0.0000 0.0000 0.3085
Al1 Al 0.0000 0.0000 0.5000
Ni1 Ni 0.0000 0.5000 0.0000
Ni2 Ni 0.0000 0.5000 0.2036
Ni3 Ni 0.0000 0.5000 0.4079
Ni4 Ni 0.5000 0.5000 0.1011
Ni5 Ni 0.5000 0.5000 0.3053
Ni6 Ni 0.5000 0.5000 0.5000
```

10.
# TeMoIN2, optimized geometry, DFT PBE
data_TeMoIN2
_chemical_formula_sum 'Te1 Mo1 I1 N2'
_cell_length_a 4.0865
_cell_length_b 4.0865
_cell_length_c 7.4875
_cell_angle_alpha 90.00
_cell_angle_beta 90.00
_cell_angle_gamma 90.00
_symmetry_space_group_name_H-M 'P 4/m m m'
_symmetry_Int_Tables_number 123
_symmetry_space_group_name_Hall '-P 4 2'
loop_
_atom_site_label
_atom_site_type_symbol
_atom_site_fract_x
_atom_site_fract_y
_atom_site_fract_z
Te1 Te 0.0000 0.0000 0.0000
Mo1 Mo 0.5000 0.5000 0.5000
I1 I 0.0000 0.0000 0.5000
N1 N 0.0000 0.5000 0.0000
# Raw formation energy, eV/atom: 1.8684

11.
# Ac8Si3Te3P, optimized geometry, DFT PBE
data_Ac8Si3Te3P
_chemical_formula_sum 'Ac24 Si9 Te9 P3'
_cell_length_a 9.1919
_cell_length_b 9.1919
_cell_length_c 23.1802
_cell_angle_alpha 90.00
_cell_angle_beta 90.00
_cell_angle_gamma 120.00
_symmetry_space_group_name_H-M 'R -3 m'
_symmetry_Int_Tables_number 166
_symmetry_space_group_name_Hall '-R 3 2"'
loop_
_atom_site_label
_atom_site_type_symbol
_atom_site_fract_x
_atom_site_fract_y
_atom_site_fract_z
Ac1 Ac 0.0000 0.0000 0.2413
Ac2 Ac 0.0023 0.5011 0.2394
Si1 Si 0.0000 0.5000 0.5000
Te1 Te 0.0000 0.5000 0.0000
P1 P 0.0000 0.0000 0.5000
# Raw formation energy, eV/atom: -1.0438

12.
Material: TiNb3Os
Method: DFT, PBE
State: optimized geometry

```
data_TiNb3Os
_chemical_formula_sum 'Ti4 Nb12 Os4'
_cell_length_a 5.2526
_cell_length_b 9.0806
_cell_length_c 7.7239
_cell_angle_alpha 90.00
_cell_angle_beta 90.00
_cell_angle_gamma 90.00
_symmetry_space_group_name_H-M 'P n m a'
_symmetry_Int_Tables_number 62
loop_
_symmetry_equiv_pos_as_xyz
'x,y,z'
'-x,-y,-z'
'-x+1/2,-y,z+1/2'
'x+1/2,y,-z+1/2'
'x+1/2,-y+1/2,-z+1/2'
'-x+1/2,y+1/2,z+1/2'
'-x,y+1/2,-z'
'x,-y+1/2,z'
loop_
_atom_site_label
_atom_site_type_symbol
_atom_site_fract_x
_atom_site_fract_y
_atom_site_fract_z
Ti1 Ti 0.2080 0.2500 0.1615
Nb1 Nb 0.0747 0.0549 0.8393
Nb2 Nb 0.2107 0.2500 0.5239
Os1 Os 0.0000 0.0000 0.5000
```

Number 1: E_tot -5.2379 eV per atom. Number 2: E_tot -5.4054 eV per atom. Number 3: E_tot -8.3809 eV per atom. Number 4: E_tot -1.9861 eV per atom. Number 5: E_tot -4.1047 eV per atom. Number 6: E_tot -3.9013 eV per atom. Number 7: E_tot -4.5586 eV per atom. Number 8: E_tot -4.6081 eV per atom. Number 9: E_tot -7.0238 eV per atom. Number 10: E_tot -4.5663 eV per atom. Number 11: E_tot -5.3086 eV per atom. Number 12: E_tot -9.7431 eV per atom.